# 1
This record from the Alexandria database describes a relaxed CuAg2Sb2 crystal. The functional is PBE.

Computed properties:
M_tot = 0.0 μB/f.u.
space-group type = P4/mbm, No. 127
ΔE to the lowest computed polymorph = 0.000 eV per atom
formation energy without anion corrections = 0.208 eV per atom
crystal system = tetragonal

Lattice parameters (Å, degrees): 7.057 7.057 4.492 90.00 90.00 90.00
Element x y z (fractional)
Ag 0.648 0.852 0.500
Sb 0.660 0.160 0.000
Cu 0.500 0.500 0.000
Ag 0.352 0.148 0.500
Sb 0.160 0.340 0.000
Cu 0.000 0.000 0.000
Sb 0.340 0.840 0.000
Ag 0.148 0.648 0.500
Sb 0.840 0.660 0.000
Ag 0.852 0.352 0.500


# 2
This record from the Alexandria database describes a relaxed CuAg2Sb crystal. The functional is PBE.

Computed properties:
M_tot = 0.0 μB/f.u.
space-group type = P4/mmm, No. 123
ΔE to the lowest computed polymorph = 0.000 eV per atom
formation energy without anion corrections = 0.104 eV per atom
crystal system = tetragonal

Lattice parameters (Å, degrees): 4.103 4.097 4.363 90.00 90.00 90.00
Element x y z (fractional)
Ag 0.000 0.000 0.000
Sb 0.000 0.500 0.500
Ag 0.500 0.500 0.000
Cu 0.500 0.000 0.500